Record 1
Density functional theory data (PBE) for a relaxed structure of Ti3NbAl.

Cell: 6.6199 6.6199 6.6199 Å, 134.53 111.13 86.46°
Closest atoms and distances in Å follow each position.
Atoms (fractional coordinates):
Ti  0.0000  0.0000  0.5000  6 Ti 2.56-2.70, 2 Nb 2.61
Ti  0.0000  0.5000  0.0000  6 Ti 2.56-2.70, 2 Nb 2.61
Ti  0.2697  0.2071  0.0626  1 Nb 2.55, 5 Ti 2.69-2.81
Ti  0.3555  0.7929  0.5626  1 Nb 2.55, 5 Ti 2.69-2.81
Ti  0.6445  0.2071  0.4374  1 Nb 2.55, 5 Ti 2.69-2.81
Ti  0.7303  0.7929  0.9374  1 Nb 2.55, 5 Ti 2.69-2.81
Nb  0.2362  0.9862  0.2500  4 Ti 2.55-2.61
Nb  0.7638  0.0138  0.7500  4 Ti 2.55-2.61
Al  0.0000  0.5000  0.5000  2 Ti 2.86, 4 Nb 3.17
Al  0.5000  0.5000  0.0000  2 Ti 2.86, 4 Nb 3.17

Calculated volume: 18.48 Å³/atom
Energy above the lowest structure with this stoichiometry: 539 meV/atom
Formation energy from the elements: 2.14 eV/f.u.

***

Record 2
Density functional theory data (PBE) for a relaxed structure of Ti12NbAl6.

Cell: 6.8570 6.8570 6.8570 Å, 90.24 90.24 90.24°
Closest atoms and distances in Å follow each position.
Atoms (fractional coordinates):
Ti  0.0236  0.9405  0.2971  4 Al 2.70-2.86, 4 Ti 2.74-2.92
Ti  0.0595  0.7029  0.9764  4 Al 2.70-2.86, 4 Ti 2.74-2.92
Ti  0.1269  0.4530  0.3457  4 Ti 2.76-2.82, 5 Al 2.78-3.01, 1 Nb 2.78
Ti  0.2971  0.0236  0.9405  4 Al 2.70-2.86, 4 Ti 2.74-2.92
Ti  0.3457  0.1269  0.4530  4 Ti 2.76-2.82, 5 Al 2.78-3.01, 1 Nb 2.78
Ti  0.4530  0.3457  0.1269  4 Ti 2.76-2.82, 5 Al 2.78-3.01, 1 Nb 2.78
Ti  0.5470  0.6543  0.8731  4 Ti 2.76-2.82, 5 Al 2.78-3.01, 1 Nb 2.78
Ti  0.6543  0.8731  0.5470  4 Ti 2.76-2.82, 5 Al 2.78-3.01, 1 Nb 2.78
Ti  0.7029  0.9764  0.0595  4 Al 2.70-2.86, 4 Ti 2.74-2.92
Ti  0.8731  0.5470  0.6543  4 Ti 2.76-2.82, 5 Al 2.78-3.01, 1 Nb 2.78
Ti  0.9405  0.2971  0.0236  4 Al 2.70-2.86, 4 Ti 2.74-2.92
Ti  0.9764  0.0595  0.7029  4 Al 2.70-2.86, 4 Ti 2.74-2.92
Nb  0.5000  0.5000  0.5000  6 Al 2.75, 6 Ti 2.78
Al  0.2260  0.3838  0.7675  9 Ti 2.70-3.01, 1 Nb 2.75, 2 Al 2.87
Al  0.2325  0.7740  0.6162  9 Ti 2.70-3.01, 1 Nb 2.75, 2 Al 2.87
Al  0.3838  0.7675  0.2260  9 Ti 2.70-3.01, 1 Nb 2.75, 2 Al 2.87
Al  0.6162  0.2325  0.7740  9 Ti 2.70-3.01, 1 Nb 2.75, 2 Al 2.87
Al  0.7675  0.2260  0.3838  9 Ti 2.70-3.01, 1 Nb 2.75, 2 Al 2.87
Al  0.7740  0.6162  0.2325  9 Ti 2.70-3.01, 1 Nb 2.75, 2 Al 2.87

Calculated volume: 16.97 Å³/atom
Formation energy from the elements: -3.19 eV/f.u.

***

Record 3
Density functional theory data (PBE) for a relaxed structure of TiNbAl.

Cell: 4.5731 4.5731 2.7896 Å, 90.00 90.00 120.00°
Closest atoms and distances in Å follow each position.
Atoms (fractional coordinates):
Ti  0.0000  0.0000  0.0000  3 Nb 2.64, 2 Ti 2.79
Nb  0.6667  0.3333  0.0000  3 Ti 2.64, 2 Nb 2.79
Al  0.3333  0.6667  0.5000  2 Al 2.79, 6 Ti 2.99, 6 Nb 2.99

Calculated volume: 16.84 Å³/atom
Energy above the lowest structure with this stoichiometry: 110 meV/atom
Formation energy from the elements: -0.46 eV/f.u.

***

Record 4
Density functional theory data (PBE) for a relaxed structure of TiNbAl.

Cell: 2.8118 2.8118 6.9144 Å, 103.43 103.43 81.69°
Closest atoms and distances in Å follow each position.
Atoms (fractional coordinates):
Ti  0.0000  0.0000  0.0000  4 Ti 2.81, 4 Al 2.83-3.02, 4 Nb 2.92-3.11
Nb  0.6735  0.6735  0.3443  4 Nb 2.81, 4 Al 2.84-3.04, 4 Ti 2.92-3.11
Al  0.3371  0.3371  0.6733  4 Al 2.81, 4 Ti 2.83-3.02, 4 Nb 2.84-3.04

Calculated volume: 17.16 Å³/atom
Energy above the lowest structure with this stoichiometry: 47 meV/atom
Formation energy from the elements: -0.65 eV/f.u.

***

Record 5
Density functional theory data (PBE) for a relaxed structure of TiNb2Al.

Cell: 3.9378 3.9378 4.4576 Å, 90.00 90.00 90.00°
Closest atoms and distances in Å follow each position.
Atoms (fractional coordinates):
Ti  0.0000  0.0000  0.0000  4 Al 2.78, 8 Nb 2.97
Nb  0.0000  0.5000  0.5000  4 Nb 2.78, 4 Al 2.97, 4 Ti 2.97
Nb  0.5000  0.0000  0.5000  4 Nb 2.78, 4 Al 2.97, 4 Ti 2.97
Al  0.5000  0.5000  0.0000  4 Ti 2.78, 8 Nb 2.97

Calculated volume: 17.28 Å³/atom
Formation energy from the elements: -0.88 eV/f.u.

***

Record 6
Density functional theory data (PBE) for a relaxed structure of TiNb6Al.

Cell: 5.6838 5.6838 4.6342 Å, 90.00 90.00 108.44°
Closest atoms and distances in Å follow each position.
Atoms (fractional coordinates):
Ti  0.0000  0.0000  0.0000  8 Nb 2.80-2.84
Nb  0.0000  0.5000  0.0000  2 Al 2.84, 2 Ti 2.84, 4 Nb 2.85
Nb  0.2360  0.2360  0.5000  2 Ti 2.80, 4 Nb 2.83-2.86, 2 Al 2.91
Nb  0.2550  0.7450  0.5000  8 Nb 2.83-2.86
Nb  0.5000  0.0000  0.0000  2 Al 2.84, 2 Ti 2.84, 4 Nb 2.85
Nb  0.7450  0.2550  0.5000  8 Nb 2.83-2.86
Nb  0.7640  0.7640  0.5000  2 Ti 2.80, 4 Nb 2.83-2.86, 2 Al 2.91
Al  0.5000  0.5000  0.0000  8 Nb 2.84-2.91

Calculated volume: 17.75 Å³/atom
Formation energy from the elements: -0.53 eV/f.u.

***

Record 7
Density functional theory data (PBE) for a relaxed structure of Ti15Nb2Al2.

Cell: 7.1734 7.1734 7.1734 Å, 73.97 73.97 73.97°
Closest atoms and distances in Å follow each position.
Atoms (fractional coordinates):
Ti  0.0000  0.0000  0.5000  2 Nb 2.74, 8 Ti 2.86-2.90
Ti  0.0000  0.3021  0.6978  4 Ti 2.57-2.61
Ti  0.0000  0.5000  0.0000  2 Nb 2.74, 8 Ti 2.86-2.90
Ti  0.0000  0.6978  0.3021  4 Ti 2.57-2.61
Ti  0.1849  0.5872  0.5872  4 Ti 2.48-2.57
Ti  0.3021  0.0000  0.6978  4 Ti 2.57-2.61
Ti  0.3021  0.6978  0.0000  4 Ti 2.57-2.61
Ti  0.4128  0.4128  0.8151  4 Ti 2.48-2.57
Ti  0.4128  0.8151  0.4128  4 Ti 2.48-2.57
Ti  0.5000  0.0000  0.0000  2 Nb 2.74, 8 Ti 2.86-2.90
Ti  0.5872  0.1849  0.5872  4 Ti 2.48-2.57
Ti  0.5872  0.5872  0.1849  4 Ti 2.48-2.57
Ti  0.6979  0.0000  0.3021  4 Ti 2.57-2.61
Ti  0.6979  0.3021  0.0000  4 Ti 2.57-2.61
Ti  0.8151  0.4128  0.4128  4 Ti 2.48-2.57
Nb  0.0932  0.0932  0.0932  9 Ti 2.74-2.98, 1 Nb 2.89, 1 Al 3.03
Nb  0.9068  0.9068  0.9068  9 Ti 2.74-2.98, 1 Nb 2.89, 1 Al 3.03
Al  0.2887  0.2887  0.2887  1 Nb 3.03, 15 Ti 3.10-3.24
Al  0.7113  0.7113  0.7113  1 Nb 3.03, 15 Ti 3.10-3.24

Calculated volume: 17.52 Å³/atom
Formation energy from the elements: 5.50 eV/f.u.

***

Record 8
Density functional theory data (PBE) for a relaxed structure of Ti3NbAl.

Cell: 8.3450 8.3450 4.6146 Å, 90.00 90.00 147.80°
Closest atoms and distances in Å follow each position.
Atoms (fractional coordinates):
Ti  0.0487  0.9513  0.7500  6 Ti 2.79-2.88, 2 Al 2.82, 1 Nb 3.10
Ti  0.1520  0.8480  0.2500  4 Nb 2.72-2.87, 2 Al 2.82, 2 Ti 2.84
Ti  0.3443  0.6557  0.2500  4 Nb 2.70-2.83, 2 Al 2.85, 2 Ti 2.88
Ti  0.6557  0.3443  0.7500  4 Nb 2.70-2.83, 2 Al 2.85, 2 Ti 2.88
Ti  0.8480  0.1520  0.7500  4 Nb 2.72-2.87, 2 Al 2.82, 2 Ti 2.84
Ti  0.9513  0.0487  0.2500  6 Ti 2.79-2.88, 2 Al 2.82, 1 Nb 3.10
Nb  0.2421  0.7579  0.7500  8 Ti 2.70-2.87
Nb  0.7579  0.2421  0.2500  8 Ti 2.70-2.87
Al  0.4486  0.5514  0.7500  6 Ti 2.82-2.85, 2 Al 2.84
Al  0.5514  0.4486  0.2500  6 Ti 2.82-2.85, 2 Al 2.84

Calculated volume: 17.12 Å³/atom
Energy above the lowest structure with this stoichiometry: 0 meV/atom
Formation energy from the elements: -0.55 eV/f.u.

***

Record 9
Density functional theory data (PBE) for a relaxed structure of Ti2NbAl3.

Cell: 6.3273 6.3273 4.0970 Å, 90.00 90.00 143.26°
Closest atoms and distances in Å follow each position.
Atoms (fractional coordinates):
Ti  0.1667  0.8333  0.0000  2 Ti 2.83, 2 Nb 2.83, 8 Al 2.85-2.86
Ti  0.8333  0.1667  0.0000  2 Ti 2.83, 2 Nb 2.83, 8 Al 2.85-2.86
Nb  0.5000  0.5000  0.0000  4 Ti 2.83, 8 Al 2.86-2.88
Al  0.0000  0.0000  0.5000  4 Al 2.84, 4 Nb 2.86, 4 Ti 2.86
Al  0.3315  0.6685  0.5000  4 Al 2.79-2.84, 6 Ti 2.85-2.86, 2 Nb 2.88
Al  0.6685  0.3315  0.5000  4 Al 2.79-2.84, 6 Ti 2.85-2.86, 2 Nb 2.88

Calculated volume: 16.35 Å³/atom
Formation energy from the elements: -2.36 eV/f.u.

***

Record 10
Density functional theory data (PBE) for a relaxed structure of Ti4Nb4Al.

Cell: 5.8007 5.8007 9.8724 Å, 90.00 90.00 90.00°
Closest atoms and distances in Å follow each position.
Atoms (fractional coordinates):
Ti  0.0428  0.2500  0.2091  3 Ti 2.40-2.53
Ti  0.2500  0.0428  0.7091  3 Ti 2.40-2.53
Ti  0.2500  0.4572  0.7091  3 Ti 2.40-2.53
Ti  0.4572  0.2500  0.2091  3 Ti 2.40-2.53
Ti  0.5428  0.7500  0.7909  3 Ti 2.40-2.53
Ti  0.7500  0.5428  0.2909  3 Ti 2.40-2.53
Ti  0.7500  0.9572  0.2909  3 Ti 2.40-2.53
Ti  0.9572  0.7500  0.7909  3 Ti 2.40-2.53
Nb  0.0034  0.2500  0.4988  5 Ti 2.79-3.04, 4 Nb 2.86-2.94, 1 Al 2.88
Nb  0.2500  0.0034  0.9988  5 Ti 2.79-3.04, 4 Nb 2.86-2.94, 1 Al 2.88
Nb  0.2500  0.4966  0.9988  5 Ti 2.79-3.04, 4 Nb 2.86-2.94, 1 Al 2.88
Nb  0.4966  0.2500  0.4988  5 Ti 2.79-3.04, 4 Nb 2.86-2.94, 1 Al 2.88
Nb  0.5034  0.7500  0.5012  5 Ti 2.79-3.04, 4 Nb 2.86-2.94, 1 Al 2.88
Nb  0.7500  0.5034  0.0012  5 Ti 2.79-3.04, 4 Nb 2.86-2.94, 1 Al 2.88
Nb  0.7500  0.9966  0.0012  5 Ti 2.79-3.04, 4 Nb 2.86-2.94, 1 Al 2.88
Nb  0.9966  0.7500  0.5012  5 Ti 2.79-3.04, 4 Nb 2.86-2.94, 1 Al 2.88
Al  0.2500  0.7500  0.2500  4 Nb 2.88, 8 Ti 3.17
Al  0.7500  0.2500  0.7500  4 Nb 2.88, 8 Ti 3.17

Calculated volume: 18.45 Å³/atom
Energy above the lowest structure with this stoichiometry: 454 meV/atom
Formation energy from the elements: 3.67 eV/f.u.